DFT (GGA-PBE) results for a relaxed ScPaTc crystal.

energy above the most stable polymorph in this dataset	0	meV per atom
calculated density	9639	kg/m³

a b c (Å): 4.4998 4.4998 4.4998
angles (deg): 60.00 60.00 60.00
Sites, in units of the cell vectors:
Sc1 0.0000 0.0000 0.0000
Pa1 0.7500 0.7500 0.7500
Tc1 0.2500 0.2500 0.2500



DFT (GGA-PBE) results for a relaxed YMgCdAg crystal.

energy	-3.2588	eV/atom
calculated density	6230	kg/m³

a b c (Å): 5.0093 5.0093 5.0093
angles (deg): 60.00 60.00 60.00
Sites, in units of the cell vectors:
Y1 0.0000 0.0000 0.0000
Mg1 0.5000 0.5000 0.5000
Cd1 0.7500 0.7500 0.7500
Ag1 0.2500 0.2500 0.2500



DFT (GGA-PBE) results for a relaxed Hf2AlNi2Bi crystal.

energy	-6.9574	eV/atom
calculated density	10506	kg/m³

a b c (Å): 7.4418 7.4418 7.4418
angles (deg): 131.78 131.78 70.58
Sites, in units of the cell vectors:
Hf1 0.2422 0.2422 0.0000
Hf2 0.5078 0.0078 0.5000
Hf3 0.7578 0.7578 0.0000
Hf4 0.9922 0.4922 0.5000
Al1 0.0000 0.0000 0.0000
Al2 0.7500 0.2500 0.5000
Ni1 0.1119 0.1250 0.4869
Ni2 0.3750 0.8881 0.0131
Ni3 0.6381 0.6250 0.5131
Ni4 0.8750 0.3619 0.9869
Bi1 0.2500 0.7500 0.5000
Bi2 0.5000 0.5000 0.0000



DFT (GGA-PBE) results for a relaxed HoMgTe3Pb crystal.

energy	-4.0022	eV/atom
calculated density	6930	kg/m³

a b c (Å): 7.7237 7.7237 11.3695
angles (deg): 90.00 90.00 146.59
Sites, in units of the cell vectors:
Ho1 0.0000 0.0000 0.0000
Ho2 0.0000 0.0000 0.5000
Mg1 0.4746 0.5254 0.7500
Mg2 0.5254 0.4746 0.2500
Te1 0.0935 0.9065 0.7500
Te2 0.3582 0.6418 0.5497
Te3 0.3582 0.6418 0.9503
Te4 0.6418 0.3582 0.0497
Te5 0.6418 0.3582 0.4503
Te6 0.9065 0.0935 0.2500
Pb1 0.2091 0.7909 0.2500
Pb2 0.7909 0.2091 0.7500



DFT (GGA-PBE) results for a relaxed ErHSe crystal.

energy	-5.2387	eV/atom
calculated density	8519	kg/m³

a b c (Å): 3.7929 3.7929 3.8680
angles (deg): 90.00 90.00 120.00
Sites, in units of the cell vectors:
Er1 0.0000 0.0000 0.0000
H1 0.6667 0.3333 0.0000
Se1 0.3333 0.6667 0.5000



DFT (GGA-PBE) results for a relaxed RbTlHg4 crystal.

energy	-0.8782	eV/atom
calculated density	9367	kg/m³

a b c (Å): 6.6458 6.6458 6.6458
angles (deg): 133.63 105.36 92.58
Sites, in units of the cell vectors:
Rb1 0.0000 0.0000 0.0000
Tl1 0.3971 0.8971 0.5000
Hg1 0.4133 0.6068 0.8065
Hg2 0.5852 0.2832 0.3019
Hg3 0.8003 0.6068 0.1935
Hg4 0.9813 0.2832 0.6981



DFT (GGA-PBE) results for a relaxed BaPuTc crystal.

energy above the most stable polymorph in this dataset	0	meV per atom
calculated density	10622	kg/m³

a b c (Å): 4.7322 4.7322 4.7322
angles (deg): 60.00 60.00 60.00
Sites, in units of the cell vectors:
Ba1 0.0000 0.0000 0.0000
Pu1 0.7500 0.7500 0.7500
Tc1 0.2500 0.2500 0.2500



DFT (GGA-PBE) results for a relaxed DyHoNi2I2 crystal.

energy	-4.7901	eV/atom
calculated density	6802	kg/m³

a b c (Å): 4.0738 4.0738 11.8671
angles (deg): 90.00 90.00 120.00
Sites, in units of the cell vectors:
Dy1 0.0000 0.0000 0.0000
Ho1 0.0000 0.0000 0.7026
Ni1 0.3333 0.6667 0.8569
Ni2 0.6667 0.3333 0.8441
I1 0.3333 0.6667 0.5224
I2 0.6667 0.3333 0.1809